No. 1
DFT (PBE) results for Ac2Cd2O5 after structural relaxation.

Cell: 4.3180 4.3180 9.3398 Å, 90.00 90.00 90.00°
With the nearest neighbours (Å) after each atom.
Space group P4/mmm (No. 123)
Symmetry-distinct sites (fractional):
Ac (0.0000, 0.0000, 0.2406) (multiplicity 2)  5 O 2.37-2.42
Cd (0.5000, 0.5000, 0.0000) (multiplicity 1)  8 O 2.51
Cd (0.5000, 0.5000, 0.5000) (multiplicity 1)  4 O 3.05
O (0.0000, 0.0000, 0.5000) (multiplicity 1)  2 Ac 2.42
O (0.0000, 0.5000, 0.1363) (multiplicity 4)  2 Ac 2.37, 2 Cd 2.51, 1 O 2.55

Computed properties:
The value obtained for the total moment is 1.206 μB per cell. The value obtained for the total DFT energy (no corrections) is -0.410 Ry/atom. The crystal system is tetragonal. For the volume, the calculation gives 174.1 Å³ per cell.

No. 2
DFT (PBE) results for NpAsW after structural relaxation.

Cell: 6.3792 6.3792 6.3792 Å, 90.00 90.00 90.00°
With the nearest neighbours (Å) after each atom.
Space group F-43m (No. 216)
Symmetry-distinct sites (fractional):
Np (0.0000, 0.0000, 0.0000) (multiplicity 4)  4 W 2.76, 4 As 2.76
As (0.2500, 0.2500, 0.7500) (multiplicity 4)  4 Np 2.76
W (0.2500, 0.2500, 0.2500) (multiplicity 4)  4 Np 2.76

Computed properties:
The value obtained for the total moment is 8.027 μB per cell. The value obtained for the total DFT energy (no corrections) is -0.665 Ry/atom. The crystal system is cubic. For the volume, the calculation gives 259.6 Å³ per cell.

No. 3
DFT (PBE) results for MgTa2N3 after structural relaxation.

Cell: 5.2196 5.2196 10.4386 Å, 90.00 90.00 120.00°
With the nearest neighbours (Å) after each atom.
Space group P6_3/mcm (No. 193)
Symmetry-distinct sites (fractional):
Mg (0.3333, 0.6667, 0.0000) (multiplicity 4)  6 N 2.15
Ta (0.0000, 0.0000, 0.0000) (multiplicity 2)  6 N 2.13
Ta (0.0000, 0.3357, 0.2500) (multiplicity 6)  6 N 2.21
N (0.0000, 0.3306, 0.6198) (multiplicity 12)  4 Ta 2.13-2.21, 2 Mg 2.15

Computed properties:
The value obtained for the total moment is 0.000 μB per cell. The value obtained for the total DFT energy (no corrections) is -0.705 Ry/atom. The crystal system is hexagonal. For the volume, the calculation gives 246.3 Å³ per cell.

No. 4
DFT (PBE) results for CsYIrSe3 after structural relaxation.

Cell: 4.0547 16.8448 10.2872 Å, 90.00 90.00 90.00°
With the nearest neighbours (Å) after each atom.
Space group Cmcm (No. 63)
Symmetry-distinct sites (fractional):
Cs (0.0000, 0.2485, 0.2500) (multiplicity 4)  6 Se 3.51-3.58
Y (0.0000, 0.5000, 0.0000) (multiplicity 4)  6 Se 2.87-2.89
Ir (0.0000, 0.0075, 0.7500) (multiplicity 4)  4 Se 2.48-2.49
Se (0.0000, 0.1107, 0.5785) (multiplicity 8)  1 Ir 2.48
Se (0.0000, 0.4213, 0.7500) (multiplicity 4)  2 Ir 2.49

Computed properties:
The value obtained for the total moment is 0.007 μB per cell. The value obtained for the total DFT energy (no corrections) is -0.403 Ry/atom. The crystal system is orthorhombic. For the volume, the calculation gives 702.6 Å³ per cell.

No. 5
DFT (PBE) results for RbHfTlSe3 after structural relaxation.

Cell: 15.7104 3.9394 12.0526 Å, 90.00 90.00 90.00°
With the nearest neighbours (Å) after each atom.
Space group Pnma (No. 62)
Symmetry-distinct sites (fractional):
Rb (0.2335, 0.2500, 0.1109) (multiplicity 4)  6 Se 3.37-3.54
Hf (0.0686, 0.7500, 0.3724) (multiplicity 4)  6 Se 2.58-2.86
Tl (0.0787, 0.7500, 0.8669) (multiplicity 4)  3 Se 2.98-3.15
Se (0.0517, 0.7500, 0.6083) (multiplicity 4)  3 Hf 2.74-2.86
Se (0.0627, 0.7500, 0.1583) (multiplicity 4)  1 Hf 2.58
Se (0.1827, 0.2500, 0.3932) (multiplicity 4)  2 Hf 2.67

Computed properties:
The value obtained for the total moment is 0.012 μB per cell. The value obtained for the total DFT energy (no corrections) is -0.372 Ry/atom. The crystal system is orthorhombic. For the volume, the calculation gives 745.9 Å³ per cell.

No. 6
DFT (PBE) results for SrAlAgSe3 after structural relaxation.

Cell: 7.8892 4.0343 9.1693 Å, 90.00 104.94 90.00°
With the nearest neighbours (Å) after each atom.
Space group P2_1/m (No. 11)
Symmetry-distinct sites (fractional):
Sr (0.2199, 0.2500, 0.2683) (multiplicity 2)  7 Se 3.13-3.41, 1 Ag 3.45
Al (0.3264, 0.7500, 0.8539) (multiplicity 2)  6 Se 2.52-2.69
Ag (0.0776, 0.2500, 0.5943) (multiplicity 2)  4 Se 2.59-2.87, 2 Ag 2.73
Se (0.1123, 0.2500, 0.8832) (multiplicity 2)  1 Ag 2.59, 2 Al 2.69
Se (0.2897, 0.7500, 0.5575) (multiplicity 2)  1 Al 2.66, 3 Ag 2.70-2.87
Se (0.4461, 0.7500, 0.1371) (multiplicity 2)  3 Al 2.52-2.69

Computed properties:
The value obtained for the total DFT energy (no corrections) is -0.300 Ry/atom. The crystal system is monoclinic. For the volume, the calculation gives 282.0 Å³ per cell.

No. 7
DFT (PBE) results for CsCuCl3 after structural relaxation.

Cell: 7.2217 7.2217 18.3236 Å, 90.00 90.00 120.00°
With the nearest neighbours (Å) after each atom.
Space group P6_522 (No. 179)
Symmetry-distinct sites (fractional):
Cs (0.2925, 0.6463, 0.4167) (multiplicity 6)  10 Cl 3.59-3.70
Cu (0.0000, 0.0621, 0.6667) (multiplicity 6)  4 Cl 2.31-2.36
Cl (0.1118, 0.2236, 0.2500) (multiplicity 6)  2 Cu 2.36
Cl (0.1532, 0.3626, 0.5938) (multiplicity 12)  1 Cu 2.31

Computed properties:
The value obtained for the total DFT energy (no corrections) is -0.229 Ry/atom. The crystal system is hexagonal. For the volume, the calculation gives 827.6 Å³ per cell.

No. 8
DFT (PBE) results for ThZr2 after structural relaxation.

Cell: 3.2909 5.3988 17.7740 Å, 90.00 90.00 90.00°
With the nearest neighbours (Å) after each atom.
Space group Pmmn (No. 59, origin choice 2)
Symmetry-distinct sites (fractional):
Th (0.2500, 0.2500, 0.1972) (multiplicity 2)  4 Th 3.29, 8 Zr 3.41-3.60
Th (0.2500, 0.7500, 0.3032) (multiplicity 2)  4 Th 3.29, 8 Zr 3.40-3.60
Zr (0.2500, 0.2500, 0.5293) (multiplicity 2)  10 Zr 3.16-3.33, 2 Th 3.40
Zr (0.2500, 0.2500, 0.8772) (multiplicity 2)  6 Zr 3.17-3.29, 4 Th 3.43
Zr (0.2500, 0.7500, 0.6224) (multiplicity 2)  6 Zr 3.16-3.29, 4 Th 3.43
Zr (0.2500, 0.7500, 0.9706) (multiplicity 2)  10 Zr 3.17-3.33, 2 Th 3.41

Computed properties:
The value obtained for the total moment is 0.017 μB per cell. The value obtained for the total DFT energy (no corrections) is -0.595 Ry/atom. As for the formation energy: 7 kJ/mol of atoms. The crystal system is orthorhombic. For the volume, the calculation gives 315.8 Å³ per cell.

No. 9
DFT (PBE) results for LaTlNiS3 after structural relaxation.

Cell: 4.0860 13.8029 11.1206 Å, 90.00 90.00 90.00°
With the nearest neighbours (Å) after each atom.
Space group Cmcm (No. 63)
Symmetry-distinct sites (fractional):
La (0.0000, 0.0000, 0.0000) (multiplicity 4)  6 S 2.86-2.88
Tl (0.0000, 0.2506, 0.2500) (multiplicity 4)  6 S 3.22-3.38
Ni (0.0000, 0.4733, 0.7500) (multiplicity 4)  4 S 2.26-2.33
S (0.0000, 0.0543, 0.7500) (multiplicity 4)  2 Ni 2.33
S (0.0000, 0.3741, 0.5881) (multiplicity 8)  1 Ni 2.26

Computed properties:
The value obtained for the total moment is 7.922 μB per cell. The value obtained for the total DFT energy (no corrections) is -0.383 Ry/atom. The crystal system is orthorhombic. For the volume, the calculation gives 627.2 Å³ per cell.

No. 10
DFT (PBE) results for TbHgO3 after structural relaxation.

Cell: 5.8761 5.8761 15.1735 Å, 90.00 90.00 120.00°
With the nearest neighbours (Å) after each atom.
Space group R-3c (No. 167, hexagonal axes)
Symmetry-distinct sites (fractional):
Tb (0.0000, 0.0000, 0.0000) (multiplicity 6)  6 O 2.26
Hg (0.0000, 0.0000, 0.2500) (multiplicity 6)  3 O 2.14
O (0.0000, 0.3642, 0.2500) (multiplicity 18)  1 Hg 2.14, 2 Tb 2.26

Computed properties:
The value obtained for the total moment is 6.002 μB per cell. The value obtained for the total DFT energy (no corrections) is -0.410 Ry/atom. The crystal system is trigonal. For the volume, the calculation gives 453.7 Å³ per cell.